Here is an optimized crystal structure of LaNiO2 from Alexandria via LeMat-Bulk. Energies are from GGA+U.

The space group is Fm-3m (No. 225) and the conventional cell measures 5.868, 5.868 and 5.868 Å, with angles of 90.00, 90.00 and 90.00 degrees. The inequivalent atoms are La at (0.000, 0.000, 0.000), Ni at (0.000, 0.000, 0.500) and O at (0.250, 0.250, 0.250).

The theoretical density is 7.5 g/cm3. The spin magnetization comes out at 4.0 μB/cell. The total energy is -93.27 eV/cell.